LaAl2BRu2: relaxed, GGA-PBE.

## Properties
N(E_F): 0.506 states/eV/atom
Formation enthalpy at 0 K: -644 meV/atom

Unit cell a=4.232 b=4.232 c=5.678 alpha=90.00 beta=90.00 gamma=90.00
Atoms (fractional coordinates):
La (0.000, 0.000, 0.000)
Al (0.500, 0.500, 0.246)
Al (0.500, 0.500, 0.754)
B (0.000, 0.000, 0.500)
Ru (0.000, 0.500, 0.500)
Ru (0.500, 0.000, 0.500)


LaAl2Tc2B: relaxed, GGA-PBE.

## Properties
N(E_F): 0.594 states/eV/atom
Formation enthalpy at 0 K: -471 meV/atom

Unit cell a=4.289 b=4.289 c=5.690 alpha=90.00 beta=90.00 gamma=90.00
Atoms (fractional coordinates):
La (0.000, 0.000, 0.000)
Al (0.500, 0.500, 0.243)
Al (0.500, 0.500, 0.757)
Tc (0.000, 0.500, 0.500)
Tc (0.500, 0.000, 0.500)
B (0.000, 0.000, 0.500)


LaAl2BTe: relaxed, GGA-PBE.

## Properties
N(E_F): 1.020 states/eV/atom
Raw formation energy: 1.379 eV/atom

Unit cell a=5.922 b=5.922 c=4.497 alpha=90.00 beta=90.00 gamma=90.00
Atoms (fractional coordinates):
La (0.000, 0.000, 0.000)
Al (0.000, 0.500, 0.000)
Al (0.500, 0.000, 0.000)
B (0.000, 0.000, 0.500)
Te (0.500, 0.500, 0.500)


LaTi2AlB: relaxed, GGA-PBE.

## Properties
N(E_F): 1.664 states/eV/atom
Formation enthalpy at 0 K: 2261 meV/atom

Unit cell a=4.811 b=4.811 c=5.508 alpha=90.00 beta=90.00 gamma=90.00
Atoms (fractional coordinates):
La (0.000, 0.000, 0.000)
Ti (0.000, 0.500, 0.000)
Ti (0.500, 0.000, 0.000)
Al (0.000, 0.000, 0.500)
B (0.500, 0.500, 0.500)


La2AlZnB: relaxed, GGA-PBE.

## Properties
N(E_F): 1.029 states/eV/atom
Formation enthalpy at 0 K: -142 meV/atom

Unit cell a=5.455 b=5.455 c=4.098 alpha=90.00 beta=90.00 gamma=90.00
Atoms (fractional coordinates):
La (0.000, 0.500, 0.000)
La (0.500, 0.000, 0.000)
Al (0.000, 0.000, 0.500)
Zn (0.500, 0.500, 0.500)
B (0.000, 0.000, 0.000)


Li2AlB: relaxed, GGA-PBE.

## Properties
Polymorph energy (0 for the lowest one): 66 meV per atom
N(E_F): 0.443 states/eV/atom
Formation enthalpy at 0 K: 468 meV/atom

Unit cell a=9.189 b=9.189 c=9.189 alpha=158.80 beta=158.80 gamma=30.16
Atoms (fractional coordinates):
Li (0.088, 0.625, 0.963)
Li (0.375, 0.338, 0.463)
Li (0.662, 0.125, 0.037)
Li (0.875, 0.912, 0.537)
Al (0.250, 0.750, 0.500)
Al (0.500, 0.500, 0.000)
B (0.000, 0.000, 0.000)
B (0.750, 0.250, 0.500)


Li2AlB: relaxed, GGA-PBE.

## Properties
Polymorph energy (0 for the lowest one): 0 meV per atom
N(E_F): 0.241 states/eV/atom
Formation enthalpy at 0 K: 401 meV/atom

Unit cell a=3.979 b=3.979 c=3.979 alpha=60.00 beta=60.00 gamma=60.00
Atoms (fractional coordinates):
Li (0.250, 0.250, 0.250)
Li (0.750, 0.750, 0.750)
Al (0.000, 0.000, 0.000)
B (0.500, 0.500, 0.500)


LiAlB2: relaxed, GGA-PBE.

## Properties
N(E_F): 0.486 states/eV/atom
Formation enthalpy at 0 K: 659 meV/atom

Unit cell a=7.833 b=7.833 c=7.833 alpha=152.86 beta=152.86 gamma=38.76
Atoms (fractional coordinates):
Li (0.000, 0.000, 0.000)
Li (0.750, 0.250, 0.500)
Al (0.250, 0.750, 0.500)
Al (0.500, 0.500, 0.000)
B (0.355, 0.125, 0.730)
B (0.375, 0.645, 0.770)
B (0.395, 0.625, 0.270)
B (0.875, 0.605, 0.230)


no.,total moment (μB/atom)
1,0.00
2,0.00
3,0.00
4,0.00
5,0.00
6,0.00
7,0.00
8,0.00